No. 1
# Rb2In3Ga (PBE, relaxed)
# Density = 4.7 Mg/m³
# Crystal system = monoclinic
# Formation enthalpy at 0 K = -0.058 eV per atom
# Volume = 821.3 Å³/cell
data_Rb2In3Ga
_chemical_formula_sum 'Rb8 In12 Ga4'
_cell_length_a 16.512
_cell_length_b 6.818
_cell_length_c 7.489
_cell_angle_alpha 90.00
_cell_angle_beta 103.05
_cell_angle_gamma 90.00
_space_group_name_H-M_alt 'C 1 2/c 1'
_space_group_IT_number 15
loop_
_space_group_symop_operation_xyz
'x,y,z'
'-x,-y,-z'
'-x,y,-z+1/2'
'x,-y,z+1/2'
'x+1/2,y+1/2,z'
'-x+1/2,-y+1/2,-z'
'-x+1/2,y+1/2,-z+1/2'
'x+1/2,-y+1/2,z+1/2'
loop_
_atom_site_label
_atom_site_type_symbol
_atom_site_fract_x
_atom_site_fract_y
_atom_site_fract_z
Rb1 Rb 0.189 0.001 0.095
In1 In 0.000 0.205 0.750
In2 In 0.100 0.500 0.049
Ga1 Ga 0.000 0.239 0.250

No. 2
# Rb3In9Ga2 (PBE, relaxed)
# Density = 5.5 Mg/m³
# Crystal system = orthorhombic
# Formation enthalpy at 0 K = -0.054 eV per atom
# Volume = 856.3 Å³/cell
data_Rb3In9Ga2
_chemical_formula_sum 'Rb6 In18 Ga4'
_cell_length_a 5.127
_cell_length_b 11.752
_cell_length_c 14.211
_cell_angle_alpha 90.00
_cell_angle_beta 90.00
_cell_angle_gamma 90.00
_space_group_name_H-M_alt 'I m m m'
_space_group_IT_number 71
_space_group_name_Hall '-I 2 2'
loop_
_atom_site_label
_atom_site_type_symbol
_atom_site_fract_x
_atom_site_fract_y
_atom_site_fract_z
Rb1 Rb 0.000 0.000 0.000
Rb2 Rb 0.000 0.000 0.299
In1 In 0.000 0.282 0.136
In2 In 0.000 0.359 0.345
In3 In 0.000 0.500 0.000
Ga1 Ga 0.000 0.184 0.500

No. 3
# RbIn12Ga4 (PBE, relaxed)
# Density = 6.0 Mg/m³
# Crystal system = cubic
# Formation enthalpy at 0 K = 0.070 eV per atom
# Volume = 972.1 Å³/cell
data_RbIn12Ga4
_chemical_formula_sum 'Rb2 In24 Ga8'
_cell_length_a 9.906
_cell_length_b 9.906
_cell_length_c 9.906
_cell_angle_alpha 90.00
_cell_angle_beta 90.00
_cell_angle_gamma 90.00
_space_group_name_H-M_alt 'I m -3'
_space_group_IT_number 204
_space_group_name_Hall '-I 2 2 3'
loop_
_atom_site_label
_atom_site_type_symbol
_atom_site_fract_x
_atom_site_fract_y
_atom_site_fract_z
Rb1 Rb 0.000 0.000 0.000
In1 In 0.000 0.350 0.158
Ga1 Ga 0.250 0.250 0.250